Below is a relaxed BaCaTl5 crystal, with properties calculated at the PBE level.

total magnetization = 0.00 Bohr magnetons per cell
DFT formation energy = -0.152 eV per atom

Geometry as CIF:
```
data_BaCaTl5
_space_group_name_H-M_alt 'P 4/m m m'
_space_group_IT_number 123
_space_group_name_Hall '-P 4 2'
_cell_length_a 6.000
_cell_length_b 6.000
_cell_length_c 6.758
_cell_angle_alpha 90.00
_cell_angle_beta 90.00
_cell_angle_gamma 90.00
loop_
_atom_site_label
_atom_site_type_symbol
_atom_site_fract_x
_atom_site_fract_y
_atom_site_fract_z
_atom_site_occupancy
Ba1 Ba 0.000 0.000 0.000 1
Ca1 Ca 0.500 0.500 0.500 1
Tl1 Tl 0.000 0.500 0.267 1
Tl2 Tl 0.500 0.500 0.000 1
```



Below is a relaxed BaCaTl6 crystal, with properties calculated at the PBE level.

excess energy over the best structure of this formula in the dataset = 0 kJ/mol of formula units
total magnetization = 0.00 Bohr magnetons per cell
DFT formation energy = -0.246 eV per atom

Geometry as CIF:
```
data_BaCaTl6
_space_group_name_H-M_alt 'P m m 2'
_space_group_IT_number 25
_space_group_name_Hall 'P 2 -2'
_cell_length_a 5.429
_cell_length_b 7.600
_cell_length_c 6.151
_cell_angle_alpha 90.00
_cell_angle_beta 90.00
_cell_angle_gamma 90.00
loop_
_atom_site_label
_atom_site_type_symbol
_atom_site_fract_x
_atom_site_fract_y
_atom_site_fract_z
_atom_site_occupancy
Ba1 Ba 0.000 0.000 0.000 1
Ca1 Ca 0.500 0.500 0.318 1
Tl1 Tl 0.000 0.273 0.493 1
Tl2 Tl 0.000 0.500 0.977 1
Tl3 Tl 0.500 0.000 0.406 1
Tl4 Tl 0.500 0.276 0.836 1
```



Below is a relaxed BaCa4Tl4 crystal, with properties calculated at the PBE level.

total magnetization = 0.00 Bohr magnetons per cell
DFT formation energy = -0.237 eV per atom

Geometry as CIF:
```
data_BaCa4Tl4
_space_group_name_H-M_alt 'P 42/n'
_space_group_IT_number 86
_cell_length_a 10.590
_cell_length_b 10.590
_cell_length_c 6.327
_cell_angle_alpha 90.00
_cell_angle_beta 90.00
_cell_angle_gamma 90.00
loop_
_space_group_symop_operation_xyz
'x,y,z'
'-x,-y,-z'
'-y,x+1/2,z+1/2'
'y,-x+1/2,-z+1/2'
'-x+1/2,-y+1/2,z'
'x+1/2,y+1/2,-z'
'y+1/2,-x,z+1/2'
'-y+1/2,x,-z+1/2'
loop_
_atom_site_label
_atom_site_type_symbol
_atom_site_fract_x
_atom_site_fract_y
_atom_site_fract_z
_atom_site_occupancy
Ba1 Ba 0.250 0.250 0.250 1
Ca1 Ca 0.104 0.644 0.144 1
Tl1 Tl 0.050 0.596 0.650 1
```



Below is a relaxed Ba2Ca2Tl crystal, with properties calculated at the PBE level.

excess energy over the best structure of this formula in the dataset = 90 kJ/mol of formula units
total magnetization = 0.00 Bohr magnetons per cell
DFT formation energy = 0.128 eV per atom

Geometry as CIF:
```
data_Ba2Ca2Tl
_space_group_name_H-M_alt 'P 4/m b m'
_space_group_IT_number 127
_space_group_name_Hall '-P 4 2ab'
_cell_length_a 8.981
_cell_length_b 8.981
_cell_length_c 6.150
_cell_angle_alpha 90.00
_cell_angle_beta 90.00
_cell_angle_gamma 90.00
loop_
_atom_site_label
_atom_site_type_symbol
_atom_site_fract_x
_atom_site_fract_y
_atom_site_fract_z
_atom_site_occupancy
Ba1 Ba 0.149 0.351 0.000 1
Ca1 Ca 0.163 0.663 0.500 1
Tl1 Tl 0.000 0.000 0.000 1
```